Density functional theory data (PBE-GGA) for SrCu2Pb after structural relaxation.

**Calculated formation energy**: 0.05 eV per atom

Lattice parameters (Å, degrees): 4.9810 4.9810 18.1235 90.00 90.00 90.00
Space group I4_1/amd (No. 141, origin choice 2)
Unique sites:
Sr 0.0000 0.2500 0.3750
Cu 0.0000 0.0000 0.0000
Pb 0.0000 0.2500 0.8750